Computed, not measured: crystalline LaY2Ho5Sc at its relaxed geometry at the GGA-PBE level of DFT.

Values from the calculation:
size of the total moment	0.00	μB/f.u.
energy relative to the elements	0.18	eV/atom

Cell lengths 10.1908, 10.1908, 10.3800 Å; angles 90.00, 90.00, 148.12 degrees
Fractional positions:
1 La 0.0835 0.9165 0.5000
2 La 0.9165 0.0835 0.0000
3 Y 0.3869 0.6131 0.7780
4 Y 0.3886 0.6114 0.3614
5 Y 0.6114 0.3886 0.8614
6 Y 0.6131 0.3869 0.2780
7 Ho 0.0180 0.9820 0.7835
8 Ho 0.1228 0.8772 0.0657
9 Ho 0.2034 0.7966 0.7512
10 Ho 0.2215 0.7785 0.3670
11 Ho 0.4804 0.5196 0.0681
12 Ho 0.5196 0.4804 0.5681
13 Ho 0.7785 0.2215 0.8670
14 Ho 0.7966 0.2034 0.2512
15 Ho 0.8772 0.1228 0.5657
16 Ho 0.9820 0.0180 0.2835
17 Sc 0.3019 0.6981 0.0590
18 Sc 0.6981 0.3019 0.5590